[1]
CaCu2Ni: single point on PBEsol structure, SCAN.

```
4
Lattice="3.0949 0.0000 0.0000 0.0000 3.0949 0.0000 0.0000 0.0000 6.2469" Properties=species:S:1:pos:R:3 pbc="T T T"
Ca 0.0000 0.0000 0.0000
Cu 0.0000 0.0000 3.2066
Cu 1.5475 1.5475 2.0032
Ni 1.5475 1.5475 4.3858
```

## Properties
- Fermi-level density of states: 0.565 states/eV per atom
- ΔE_f: 0.1567 eV/atom
- Energy above the most stable polymorph in this dataset: 0.907 eV per formula unit
- Electronic total energy: -13.902 eV/atom
- SG: P4mm (99)

---

[2]
CoIrCl2: single point on PBEsol structure, SCAN.

```
4
Lattice="6.0421 -1.4293 0.0000 6.0421 1.4293 0.0000 -0.4929 0.0000 4.3630" Properties=species:S:1:pos:R:3 pbc="T T T"
Co 0.0000 0.0000 0.0000
Ir 5.7956 0.0000 2.1815
Cl 3.9183 0.0000 3.4456
Cl 7.6730 0.0000 0.9173
```

## Properties
- Fermi-level density of states: 0.752 states/eV per atom
- Energy above the most stable polymorph in this dataset: 0.000 eV per formula unit
- Formation energy without anion corrections: 132 meV per atom
- Electronic total energy: -25.958 eV/atom
- SG: C2/m (12)

---

[3]
ZnSbF5: single point on PBEsol structure, SCAN.

```
28
Lattice="5.6155 0.0000 0.0000 0.0000 10.0365 0.0000 -4.1147 0.0000 6.8977" Properties=species:S:1:pos:R:3 pbc="T T T"
Zn -1.0804 0.2402 2.1389
Zn -3.1378 4.7781 5.5877
Zn 4.6386 5.2584 1.3100
Zn 2.5813 9.7963 4.7589
Sb -0.2482 7.2653 4.6334
Sb 1.8092 7.7894 1.1845
Sb -0.3083 2.2470 5.7132
Sb 1.7490 2.7712 2.2644
F 0.6302 6.0731 0.2751
F -1.4272 8.9816 3.7240
F -0.4667 6.8313 2.6743
F -2.5240 8.2234 6.1231
F -1.6005 5.6632 4.6939
F 0.4569 9.3915 1.2450
F -1.7704 0.8414 5.8623
F 0.2870 4.1769 2.4135
F 0.1167 1.5299 3.0698
F -1.9407 3.4883 6.5187
F 3.4415 6.5482 0.3790
F 1.3842 8.5066 3.8279
F 1.2139 5.8596 4.4842
F 3.2712 9.1951 1.0354
F 1.0440 0.6450 5.6527
F 3.1013 4.3733 2.2038
F 4.0249 1.8131 0.7746
F 1.9675 3.2052 4.2234
F 2.9280 1.0549 3.1738
F 0.8707 3.9634 6.6226
```

## Properties
- Fermi-level density of states: 0.000 states/eV per atom
- Energy above the most stable polymorph in this dataset: 0.000 eV per formula unit
- Formation energy without anion corrections: -2417 meV per atom
- Electronic total energy: -12.199 eV/atom
- SG: P2_1/c (14)

---

[4]
DyTmAg2: single point on PBEsol structure, SCAN.

```
4
Lattice="0.0000 3.5442 3.5442 3.5442 0.0000 3.5442 3.5442 3.5442 0.0000" Properties=species:S:1:pos:R:3 pbc="T T T"
Dy 0.0000 0.0000 0.0000
Tm 3.5442 3.5442 3.5442
Ag 1.7721 1.7721 1.7721
Ag 5.3163 5.3163 5.3163
```

## Properties
- Fermi-level density of states: 0.525 states/eV per atom
- ΔE_f: -0.3937 eV/atom
- Electronic total energy: -40.984 eV/atom
- SG: Fm-3m (225)

---

[5]
LiSc2Ru: single point on PBEsol structure, SCAN.

```
4
Lattice="0.0000 3.2284 3.2284 3.2284 0.0000 3.2284 3.2284 3.2284 0.0000" Properties=species:S:1:pos:R:3 pbc="T T T"
Li 0.0000 0.0000 0.0000
Sc 1.6142 1.6142 1.6142
Sc 4.8426 4.8426 4.8426
Ru 3.2284 3.2284 3.2284
```

## Properties
- Fermi-level density of states: 0.668 states/eV per atom
- ΔE_f: -0.4195 eV/atom
- Energy above the most stable polymorph in this dataset: 0.000 eV per formula unit
- Electronic total energy: -16.842 eV/atom
- SG: Fm-3m (225)

---

[6]
ZnHgAs2: single point on PBEsol structure, SCAN.

```
4
Lattice="3.0762 0.0000 0.0000 0.0000 3.5551 0.0000 0.0000 0.0000 7.6252" Properties=species:S:1:pos:R:3 pbc="T T T"
Zn 0.0000 0.0000 0.0000
Hg 0.0000 0.0000 3.8126
As 1.5381 1.7776 1.3027
As 1.5381 1.7776 6.3225
```

## Properties
- Fermi-level density of states: 0.316 states/eV per atom
- ΔE_f: 0.2206 eV/atom
- Energy above the most stable polymorph in this dataset: 0.626 eV per formula unit
- Electronic total energy: -30.295 eV/atom
- SG: Pmmm (47)

---

[7]
Co2W: single point on PBEsol structure, SCAN.

```
24
Lattice="4.6138 0.0000 0.0000 -2.3069 3.9957 0.0000 0.0000 0.0000 15.0718" Properties=species:S:1:pos:R:3 pbc="T T T"
Co -1.1535 1.9979 0.0000
Co -1.1535 1.9979 7.5359
Co 0.0000 1.3099 3.7679
Co -1.1725 3.3408 3.7679
Co 1.1344 0.6549 11.3038
Co 0.0000 2.6638 1.9092
Co 0.0000 2.6638 5.6267
Co 2.3069 0.0000 0.0000
Co 2.3069 0.0000 7.5359
Co 1.1535 1.9979 0.0000
Co 1.1535 1.9979 7.5359
Co 2.3069 1.3319 9.4451
Co 2.3069 1.3319 13.1626
Co 1.1725 3.3408 3.7679
Co 3.4795 0.6549 11.3038
Co 2.3069 2.6858 11.3038
W 0.0000 0.0000 1.3591
W 0.0000 0.0000 6.1768
W 0.0000 0.0000 8.8950
W 0.0000 0.0000 13.7127
W 0.0000 2.6638 9.8903
W 0.0000 2.6638 12.7174
W 2.3069 1.3319 2.3544
W 2.3069 1.3319 5.1815
```

## Properties
- Fermi-level density of states: 1.234 states/eV per atom
- ΔE_f: 0.1657 eV/atom
- Electronic total energy: -34.600 eV/atom
- SG: P6_3/mmc (194)

---

[8]
Cu3Ag: single point on PBEsol structure, SCAN.

```
8
Lattice="4.2454 0.0000 0.0000 0.0000 5.2452 0.0000 0.0000 0.0000 4.5511" Properties=species:S:1:pos:R:3 pbc="T T T"
Cu 1.0613 0.0029 0.7176
Cu 1.0613 1.3113 3.1148
Cu 1.0613 2.6197 0.7176
Cu 3.1840 2.6255 3.8336
Cu 3.1840 3.9339 1.4363
Cu 3.1840 5.2423 3.8336
Ag 1.0613 3.9339 2.9851
Ag 3.1840 1.3113 1.5660
```

## Properties
- Fermi-level density of states: 0.301 states/eV per atom
- ΔE_f: 0.1052 eV/atom
- Electronic total energy: -19.136 eV/atom
- SG: Pmmn (59)

---

[9]
Sr2PrCu3Pb2O8: single point on PBEsol structure, SCAN.

```
16
Lattice="3.8384 0.0000 0.0000 0.0000 3.8130 0.0000 -0.4363 0.0000 15.7231" Properties=species:S:1:pos:R:3 pbc="T T T"
Sr 0.0019 0.0000 3.5230
Sr 3.4002 0.0000 12.2001
Pr 0.0000 0.0000 0.0000
Cu -0.2181 0.0000 7.8615
Cu 1.4815 1.9065 13.9712
Cu 1.9206 1.9065 1.7519
Pb 1.5909 1.9065 9.5716
Pb 1.8112 1.9065 6.1515
O 0.0014 1.9065 1.5771
O 0.2630 0.0000 6.0839
O 1.4629 1.9065 11.7310
O 1.4831 0.0000 14.1564
O 1.9190 0.0000 1.5667
O 1.9392 1.9065 3.9920
O 3.1391 0.0000 9.6392
O 3.4007 1.9065 14.1460
```

## Properties
- Fermi-level density of states: 0.115 states/eV per atom
- Formation energy without anion corrections: -1881 meV per atom
- Electronic total energy: -22.811 eV/atom
- SG: P2/m (10)

---

[10]
LiMg2Pb: single point on PBEsol structure, SCAN.

```
4
Lattice="5.1637 -1.6619 0.0000 5.1637 1.6619 0.0000 -0.8516 0.0000 5.2299" Properties=species:S:1:pos:R:3 pbc="T T T"
Li 0.0000 0.0000 0.0000
Mg 1.9392 0.0000 3.9546
Mg 7.5366 0.0000 1.2753
Pb 4.7379 0.0000 2.6150
```

## Properties
- Fermi-level density of states: 0.424 states/eV per atom
- ΔE_f: -0.1857 eV/atom
- Electronic total energy: -22.215 eV/atom
- SG: C2/m (12)

---

[11]
HfCoCuNi2: single point on PBEsol structure, SCAN.

```
5
Lattice="4.4469 0.0000 0.0000 0.0000 4.4469 0.0000 0.0000 0.0000 4.3370" Properties=species:S:1:pos:R:3 pbc="T T T"
Hf 0.0000 0.0000 0.0000
Co 0.0000 0.0000 2.1685
Cu 2.2234 2.2234 2.1685
Ni 0.0000 2.2234 0.0000
Ni 2.2234 0.0000 0.0000
```

## Properties
- Fermi-level density of states: 0.412 states/eV per atom
- ΔE_f: 1.5286 eV/atom
- Electronic total energy: -23.976 eV/atom
- SG: P4/mmm (123)

---

[12]
Si8C: single point on PBEsol structure, SCAN.

```
9
Lattice="-4.6698 4.6698 1.3851 4.6698 -4.6698 1.3851 4.6698 4.6698 -1.3851" Properties=species:S:1:pos:R:3 pbc="T T T"
Si 3.1463 0.0000 0.0000
Si 6.1934 0.0000 0.0000
Si 0.0000 3.1463 0.0000
Si 3.4194 3.4194 0.0000
Si 1.2504 -1.2504 1.3851
Si -1.2504 1.2504 1.3851
Si 1.2504 1.2504 1.3851
Si 0.0000 6.1934 0.0000
C 0.0000 0.0000 0.0000
```

## Properties
- Fermi-level density of states: 0.268 states/eV per atom
- Formation energy without anion corrections: 876 meV per atom
- Electronic total energy: -9.150 eV/atom
- SG: I4/mmm (139)

---

[13]
Ho2ZnRh: single point on PBEsol structure, SCAN.

```
4
Lattice="0.0000 3.4123 3.4123 3.4123 0.0000 3.4123 3.4123 3.4123 0.0000" Properties=species:S:1:pos:R:3 pbc="T T T"
Ho 1.7061 1.7061 1.7061
Ho 5.1184 5.1184 5.1184
Zn 0.0000 0.0000 0.0000
Rh 3.4123 3.4123 3.4123
```

## Properties
- Fermi-level density of states: 0.540 states/eV per atom
- ΔE_f: -0.7284 eV/atom
- Electronic total energy: -37.044 eV/atom
- SG: Fm-3m (225)

---

[14]
ZnSbS2Cl: single point on PBEsol structure, SCAN.

```
5
Lattice="4.9916 0.0000 0.0000 0.0000 4.9916 0.0000 0.0000 0.0000 5.0551" Properties=species:S:1:pos:R:3 pbc="T T T"
Zn 0.0000 0.0000 0.0000
Sb 2.4958 2.4958 2.5275
S 0.0000 2.4958 2.5275
S 2.4958 0.0000 2.5275
Cl 2.4958 2.4958 0.0000
```

## Properties
- Fermi-level density of states: 0.498 states/eV per atom
- Formation energy without anion corrections: 252 meV per atom
- Electronic total energy: -15.350 eV/atom
- SG: P4/mmm (123)

---

[15]
CrNi5: single point on PBEsol structure, SCAN.

```
6
Lattice="4.2495 0.0000 0.0000 -2.1248 3.6802 0.0000 0.0000 0.0000 3.9814" Properties=species:S:1:pos:R:3 pbc="T T T"
Cr 0.0000 0.0000 0.0000
Ni -1.4169 2.4542 1.9907
Ni 0.7078 1.2260 1.9907
Ni 0.0000 2.4535 0.0000
Ni 2.8339 0.0000 1.9907
Ni 2.1248 1.2267 0.0000
```

## Properties
- Fermi-level density of states: 1.212 states/eV per atom
- ΔE_f: 0.0422 eV/atom
- Electronic total energy: -16.500 eV/atom
- SG: P-62m (189)

---

[16]
TlCrPt4: single point on PBEsol structure, SCAN.

```
6
Lattice="0.0000 3.7186 3.7186 3.7186 0.0000 3.7186 3.7186 3.7186 0.0000" Properties=species:S:1:pos:R:3 pbc="T T T"
Tl 0.0000 0.0000 0.0000
Cr 1.8593 1.8593 1.8593
Pt 4.6466 2.7906 2.7906
Pt 2.7906 4.6466 2.7906
Pt 2.7906 2.7906 4.6466
Pt 4.6466 4.6466 4.6466
```

## Properties
- Fermi-level density of states: 0.826 states/eV per atom
- ΔE_f: -0.0533 eV/atom
- Electronic total energy: -61.973 eV/atom
- SG: F-43m (216)

---

[17]
Sc2PtAu: single point on PBEsol structure, SCAN.

```
4
Lattice="1.5073 0.8702 9.6277 -1.5073 0.8702 9.6277 0.0000 -1.7405 9.6277" Properties=species:S:1:pos:R:3 pbc="T T T"
Sc 0.0000 0.0000 2.4978
Sc 0.0000 0.0000 26.3854
Pt 0.0000 0.0000 0.0000
Au 0.0000 0.0000 14.4416
```

## Properties
- Fermi-level density of states: 0.573 states/eV per atom
- ΔE_f: -0.2195 eV/atom
- Electronic total energy: -42.176 eV/atom
- SG: R-3m (166)

---

[18]
Ni2AsPt: single point on PBEsol structure, SCAN.

```
4
Lattice="-1.6016 2.0709 3.8549 1.6016 -2.0709 3.8549 1.6016 2.0709 -3.8549" Properties=species:S:1:pos:R:3 pbc="T T T"
Ni 0.0000 0.0000 1.7096
Ni 0.0000 0.0000 6.0001
As 1.6016 0.0000 0.0000
Pt 0.0000 2.0709 0.0000
```

## Properties
- Fermi-level density of states: 0.643 states/eV per atom
- ΔE_f: -0.1089 eV/atom
- Electronic total energy: -30.792 eV/atom
- SG: Immm (71)

---

[19]
HfTaFe3: single point on PBEsol structure, SCAN.

```
5
Lattice="4.3259 0.0000 0.0000 0.0000 4.3259 0.0000 0.0000 0.0000 4.3259" Properties=species:S:1:pos:R:3 pbc="T T T"
Hf 0.0000 0.0000 0.0000
Ta 2.1630 2.1630 2.1630
Fe 0.0000 0.0000 2.1630
Fe 0.0000 2.1630 0.0000
Fe 2.1630 0.0000 0.0000
```

## Properties
- Fermi-level density of states: 1.496 states/eV per atom
- ΔE_f: 1.6200 eV/atom
- Electronic total energy: -35.109 eV/atom
- SG: Pm-3m (221)

---

[20]
Rb4Ti2P6Se25: single point on PBEsol structure, SCAN.

```
74
Lattice="0.0000 18.5001 3.3131 17.7266 0.0000 3.3131 17.7266 18.5001 0.0000" Properties=species:S:1:pos:R:3 pbc="T T T"
Rb 10.8297 3.9099 1.6566
Rb 20.3480 15.8427 1.5574
Rb 19.6930 5.3402 3.3131
Rb 15.1051 21.1575 1.5574
Rb 6.8969 14.5903 1.6566
Rb 11.4848 11.9075 3.2140
Rb 23.9684 25.0928 3.2140
Rb 15.7602 31.6600 3.3131
Ti 4.4941 1.2122 0.6572
Ti 13.3574 8.0378 2.3137
Ti 13.2324 17.2879 0.6572
Ti 4.3691 10.4623 2.3137
P 29.4708 14.4558 3.0163
P 24.0239 17.1107 1.5748
P 16.4891 17.1716 0.4533
P 1.2375 1.3285 0.4533
P 10.1007 7.9215 2.1098
P 15.1606 10.6395 3.2313
P 7.6258 10.5786 2.1098
P 11.4292 19.8896 1.5748
P 20.6075 13.2944 4.6729
P 20.2925 26.3608 3.2313
P 5.9824 22.5444 3.0163
P 14.8456 23.7059 4.6729
Se 14.9090 9.7559 1.2059
Se 11.5476 9.1692 0.9562
Se 8.8313 6.6776 0.9334
Se 26.0873 17.7232 2.3851
Se 29.4075 19.0060 2.8625
Se 6.1479 2.8944 1.6051
Se 18.4476 11.3438 2.5279
Se 8.8952 11.8225 0.9334
Se 6.1790 9.3309 0.9562
Se 15.0112 6.3557 3.2617
Se 21.9974 11.9500 3.5758
Se 22.6640 18.3811 2.7999
Se 17.7266 18.5001 1.8756
Se 20.2970 20.7603 1.9787
Se 15.1561 16.2400 1.9787
Se 11.5786 15.6057 1.6051
Se 2.8176 8.7442 1.2059
Se 18.5686 13.4306 3.6122
Se 17.2240 10.0270 4.0416
Se 29.1603 25.4900 3.6353
Se 14.8863 12.7613 3.3218
Se 25.8688 20.5939 4.1844
Se 29.4301 22.0114 4.9784
Se 26.5899 27.7502 3.5321
Se 31.5273 27.8693 4.4564
Se 21.1444 15.3615 4.8596
Se 12.7892 18.6192 2.7999
Se 20.5668 24.2389 3.3218
Se 17.0055 25.6564 2.5279
Se 9.3658 19.2771 2.3851
Se 24.0194 30.0104 3.6353
Se 25.7478 22.6806 5.2687
Se 16.8845 23.5697 3.6122
Se 22.3190 21.2001 5.2324
Se 20.4419 30.6446 3.2617
Se 6.0457 17.9943 2.8625
Se 9.5843 16.4064 4.1844
Se 21.6524 27.6311 4.4564
Se 17.7585 15.9276 5.9031
Se 20.4109 18.5810 5.9258
Se 18.2291 26.9733 4.0416
Se 13.4557 25.0502 3.5758
Se 13.1341 15.8001 5.2324
Se 27.4319 32.8197 5.2687
Se 14.3088 21.6387 4.8596
Se 17.6946 21.0726 5.9031
Se 15.0423 18.4193 5.9258
Se 30.0076 30.8888 6.5162
Se 23.7496 33.4890 4.9784
Se 23.1721 24.6116 6.5162
```

## Properties
- Formation energy without anion corrections: -591 meV per atom
- Electronic total energy: -18.952 eV/atom
- SG: Fdd2 (43)

---

[21]
BeCrSe2: single point on PBEsol structure, SCAN.

```
4
Lattice="-1.7020 1.7020 6.7417 1.7020 -1.7020 6.7417 1.7020 1.7020 -6.7417" Properties=species:S:1:pos:R:3 pbc="T T T"
Be 0.0000 0.0000 0.0000
Cr 0.0000 1.7020 3.3709
Se 1.7020 0.0000 3.3709
Se 0.0000 0.0000 6.7417
```

## Properties
- Fermi-level density of states: 0.339 states/eV per atom
- Formation energy without anion corrections: -143 meV per atom
- Electronic total energy: -15.866 eV/atom
- SG: I-4m2 (119)